(1)
AsRh2W | meta-GGA SCAN | PBEsol geometry

Summary:
E_form in eV per atom: 0.042
Space group: I-4m2
E_tot in eV per cell: -157.3

Structure (extended XYZ):
```
4
Lattice="-1.571 -2.927 2.125 3.153 -2.244 -0.760 0.858 3.884 2.324" Properties=species:S:1:pos:R:3 pbc="T T T"
As 2.401 -0.473 1.123
Rh 0.000 0.000 0.000
Rh 0.039 -0.814 2.566
W 0.791 -2.586 0.683
```

(2)
ZrFe2W | meta-GGA SCAN | PBEsol geometry

Summary:
E_form in eV per atom: 0.239
Space group: C2/m
E_tot in eV per cell: -135.7

Structure (extended XYZ):
```
4
Lattice="-0.828 -0.714 -2.486 4.784 -0.494 -0.608 -1.852 -3.702 2.524" Properties=species:S:1:pos:R:3 pbc="T T T"
Fe 2.392 -0.247 -0.304
Fe -0.926 -1.851 1.262
W -0.414 -0.357 -1.243
Zr 1.052 -2.455 -0.285
```

(3)
As2PtIBr | meta-GGA SCAN | PBEsol geometry

Summary:
Space group: P4/mmm
E_tot in eV per cell: -164.8
ΔE_f (raw) in eV per atom: 0.39

Structure (extended XYZ):
```
5
Lattice="4.921 0.000 0.000 0.000 4.921 0.000 0.000 0.000 5.067" Properties=species:S:1:pos:R:3 pbc="T T T"
I 2.461 2.461 2.533
As 0.000 2.461 0.000
As 2.461 0.000 0.000
Br 0.000 0.000 2.533
Pt 0.000 0.000 0.000
```

(4)
Ag2Au | meta-GGA SCAN | PBEsol geometry

Summary:
E_form in eV per atom: 0.128
Space group: P4/mmm
E_tot in eV per cell: -131.5
Energy above the most stable polymorph in this dataset in eV/f.u.: 0.610

Structure (extended XYZ):
```
3
Lattice="2.814 0.000 0.000 0.000 4.691 0.000 0.000 0.000 4.691" Properties=species:S:1:pos:R:3 pbc="T T T"
Au 0.000 0.000 0.000
Ag 1.407 0.000 2.345
Ag 1.407 2.345 0.000
```

(5)
TcTe2As | meta-GGA SCAN | PBEsol geometry

Summary:
Space group: P4mm
E_tot in eV per cell: -129.7
ΔE_f (raw) in eV per atom: 0.02

Structure (extended XYZ):
```
4
Lattice="-2.558 1.380 -1.032 -0.131 -1.998 -2.346 -5.145 -5.696 5.139" Properties=species:S:1:pos:R:3 pbc="T T T"
As -2.960 -3.276 2.956
Te -4.732 -5.238 4.726
Te -2.722 -1.834 -0.314
Tc -5.139 -4.510 2.101
```

(6)
LiP2Cl | meta-GGA SCAN | PBEsol geometry

Summary:
Space group: F-43m
E_tot in eV per cell: -30.3
Energy above the most stable polymorph in this dataset in eV/f.u.: 3.628
ΔE_f (raw) in eV per atom: 0.21

Structure (extended XYZ):
```
4
Lattice="4.481 0.000 0.000 2.240 3.880 0.000 2.240 1.293 3.658" Properties=species:S:1:pos:R:3 pbc="T T T"
P 0.000 0.000 0.000
P 2.240 1.293 0.915
Cl 4.481 2.587 1.829
Li 6.721 3.880 2.744
```

(7)
TcOs2 | meta-GGA SCAN | PBEsol geometry

Summary:
E_form in eV per atom: -0.092
Space group: C2/m
E_tot in eV per cell: -358.2
Energy above the most stable polymorph in this dataset in eV/f.u.: 0.022

Structure (extended XYZ):
```
6
Lattice="2.728 0.000 0.000 -1.364 4.920 -0.001 0.000 -1.508 6.224" Properties=species:S:1:pos:R:3 pbc="T T T"
Os 1.364 3.595 4.319
Os 0.000 2.086 6.050
Os 1.364 1.326 0.173
Os 0.000 -0.183 1.904
Tc 0.000 2.471 2.250
Tc 1.364 0.941 3.973
```

(8)
CaHfIr2Os | meta-GGA SCAN | PBEsol geometry

Summary:
E_form in eV per atom: 0.561
Space group: P4/mmm
E_tot in eV per cell: -283.6

Structure (extended XYZ):
```
5
Lattice="-0.912 -2.975 -3.576 -2.195 -3.044 3.092 -4.237 2.250 -0.792" Properties=species:S:1:pos:R:3 pbc="T T T"
Hf -0.456 -1.488 -1.788
Ca -3.672 -1.885 -0.638
Ir -2.118 1.125 -0.396
Ir -1.097 -1.522 1.546
Os 0.000 0.000 0.000
```

Q: Which of these has the highest E_tot?
A: LiP2Cl